VASP calculation (GGA-PBEsol) on an optimized crystal structure of CoSiPt2Pb.

Properties
Symmetry: P4/mmm (123)
VASP energy, eV per cell: -23.25
E_form (uncorrected), eV per atom: 1.631

Lattice parameters (Å, degrees): 4.690 4.983 4.983 90.00 90.00 90.00
Element x y z (fractional)
Co 0.500 0.000 0.000
Pt 0.000 0.500 0.000
Pt 0.000 0.000 0.500
Pb 0.000 0.000 0.000
Si 0.500 0.500 0.500